Entry 1:
# Na2As2Ir | Alexandria | GGA-PBEsol | relaxed
# Raw total energy: -49.78 eV per cell
# ΔE_f: -410.7 meV per atom
# Crystal system: tetragonal
# DOS(E_F): 0.239 states/eV/atom
# Spin magnetization: 0.00 Bohr magnetons per cell
data_Na2As2Ir
_chemical_formula_sum 'Na4 As4 Ir2'
_symmetry_space_group_name_H-M 'P 1'
_symmetry_Int_Tables_number 1
_symmetry_space_group_name_Hall 'P 1'
_cell_length_a 6.253
_cell_length_b 6.253
_cell_length_c 4.904
_cell_angle_alpha 90.00
_cell_angle_beta 90.00
_cell_angle_gamma 90.00
loop_
_atom_site_label
_atom_site_type_symbol
_atom_site_fract_x
_atom_site_fract_y
_atom_site_fract_z
Na1 Na 0.181 0.319 0.000
Na2 Na 0.319 0.819 0.000
Na3 Na 0.681 0.181 0.000
Na4 Na 0.819 0.681 0.000
As1 As 0.139 0.639 0.500
As2 As 0.361 0.139 0.500
As3 As 0.639 0.861 0.500
As4 As 0.861 0.361 0.500
Ir1 Ir 0.000 0.000 0.500
Ir2 Ir 0.500 0.500 0.500


Entry 2:
# Y2HgBr | Alexandria | GGA-PBEsol | relaxed
# Raw total energy: -19.47 eV per cell
# Polymorph energy (0 for the lowest one): 0.000 eV per atom
# ΔE_f (raw): -846 meV/atom
# Crystal system: orthorhombic
# DOS(E_F): 0.637 states/eV/atom
# Spin magnetization: 0.00 Bohr magnetons per cell
data_Y2HgBr
_chemical_formula_sum 'Y2 Hg1 Br1'
_symmetry_space_group_name_H-M 'P 1'
_symmetry_Int_Tables_number 1
_symmetry_space_group_name_Hall 'P 1'
_cell_length_a 3.707
_cell_length_b 4.643
_cell_length_c 5.920
_cell_angle_alpha 90.00
_cell_angle_beta 90.00
_cell_angle_gamma 90.00
loop_
_atom_site_label
_atom_site_type_symbol
_atom_site_fract_x
_atom_site_fract_y
_atom_site_fract_z
Y1 Y 0.000 0.000 0.000
Y2 Y 0.500 0.500 0.500
Hg1 Hg 0.000 0.000 0.500
Br1 Br 0.500 0.500 0.000


Entry 3:
# Sc2CoCl | Alexandria | GGA-PBEsol | relaxed
# Raw total energy: -25.67 eV per cell
# Polymorph energy (0 for the lowest one): 0.131 eV per atom
# ΔE_f (raw): -678 meV/atom
# Crystal system: orthorhombic
# DOS(E_F): 1.014 states/eV/atom
# Spin magnetization: 0.00 Bohr magnetons per cell
data_Sc2CoCl
_chemical_formula_sum 'Sc2 Co1 Cl1'
_symmetry_space_group_name_H-M 'P 1'
_symmetry_Int_Tables_number 1
_symmetry_space_group_name_Hall 'P 1'
_cell_length_a 7.352
_cell_length_b 7.352
_cell_length_c 7.352
_cell_angle_alpha 155.68
_cell_angle_beta 154.36
_cell_angle_gamma 35.63
loop_
_atom_site_label
_atom_site_type_symbol
_atom_site_fract_x
_atom_site_fract_y
_atom_site_fract_z
Sc1 Sc 0.000 0.000 0.000
Sc2 Sc 0.784 0.284 0.500
Co1 Co 0.414 0.414 0.000
Cl1 Cl 0.167 0.667 0.500


Entry 4:
# B2ClF | Alexandria | GGA-PBEsol | relaxed
# Raw total energy: -12.41 eV per cell
# ΔE_f (raw): 1389 meV/atom
# Crystal system: cubic
# DOS(E_F): 0.260 states/eV/atom
# Spin magnetization: 0.00 Bohr magnetons per cell
data_B2ClF
_chemical_formula_sum 'B2 Cl1 F1'
_symmetry_space_group_name_H-M 'P 1'
_symmetry_Int_Tables_number 1
_symmetry_space_group_name_Hall 'P 1'
_cell_length_a 4.094
_cell_length_b 4.094
_cell_length_c 4.094
_cell_angle_alpha 60.00
_cell_angle_beta 60.00
_cell_angle_gamma 60.00
loop_
_atom_site_label
_atom_site_type_symbol
_atom_site_fract_x
_atom_site_fract_y
_atom_site_fract_z
B1 B 0.250 0.250 0.250
B2 B 0.750 0.750 0.750
Cl1 Cl 0.000 0.000 0.000
F1 F 0.500 0.500 0.500


Entry 5:
# Cd2CoRh | Alexandria | GGA-PBEsol | relaxed
# Raw total energy: -17.67 eV per cell
# ΔE_f: 148.8 meV per atom
# Crystal system: monoclinic
# DOS(E_F): 1.095 states/eV/atom
# Spin magnetization: 1.80 Bohr magnetons per cell
data_Cd2CoRh
_chemical_formula_sum 'Cd2 Co1 Rh1'
_symmetry_space_group_name_H-M 'P 1'
_symmetry_Int_Tables_number 1
_symmetry_space_group_name_Hall 'P 1'
_cell_length_a 5.129
_cell_length_b 5.129
_cell_length_c 4.666
_cell_angle_alpha 108.59
_cell_angle_beta 108.59
_cell_angle_gamma 32.52
loop_
_atom_site_label
_atom_site_type_symbol
_atom_site_fract_x
_atom_site_fract_y
_atom_site_fract_z
Cd1 Cd 0.000 0.000 0.000
Cd2 Cd 0.221 0.221 0.669
Co1 Co 0.469 0.469 0.477
Rh1 Rh 0.761 0.761 0.200


Entry 6:
# Na9Ni7O16 | Alexandria | GGA-PBEsol | relaxed
# Raw total energy: -176.34 eV per cell
# ΔE_f (raw): -1145 meV/atom
# Crystal system: triclinic
# DOS(E_F): 0.337 states/eV/atom
# Spin magnetization: 5.07 Bohr magnetons per cell
data_Na9Ni7O16
_chemical_formula_sum 'Na9 Ni7 O16'
_symmetry_space_group_name_H-M 'P 1'
_symmetry_Int_Tables_number 1
_symmetry_space_group_name_Hall 'P 1'
_cell_length_a 6.836
_cell_length_b 6.880
_cell_length_c 7.836
_cell_angle_alpha 65.83
_cell_angle_beta 76.39
_cell_angle_gamma 69.75
loop_
_atom_site_label
_atom_site_type_symbol
_atom_site_fract_x
_atom_site_fract_y
_atom_site_fract_z
Na1 Na 0.000 0.000 0.000
Na2 Na 0.057 0.429 0.689
Na3 Na 0.183 0.297 0.068
Na4 Na 0.319 0.181 0.427
Na5 Na 0.420 0.062 0.816
Na6 Na 0.580 0.938 0.184
Na7 Na 0.681 0.819 0.573
Na8 Na 0.817 0.703 0.932
Na9 Na 0.943 0.571 0.311
Ni1 Ni 0.126 0.870 0.380
Ni2 Ni 0.248 0.744 0.752
Ni3 Ni 0.379 0.619 0.128
Ni4 Ni 0.500 0.500 0.500
Ni5 Ni 0.621 0.381 0.872
Ni6 Ni 0.752 0.256 0.248
Ni7 Ni 0.874 0.130 0.620
O1 O 0.002 0.801 0.635
O2 O 0.140 0.054 0.707
O3 O 0.143 0.654 0.016
O4 O 0.260 0.542 0.393
O5 O 0.281 0.913 0.136
O6 O 0.365 0.440 0.774
O7 O 0.377 0.799 0.490
O8 O 0.499 0.315 0.137
O9 O 0.501 0.685 0.863
O10 O 0.623 0.201 0.510
O11 O 0.635 0.560 0.226
O12 O 0.719 0.087 0.864
O13 O 0.740 0.458 0.607
O14 O 0.857 0.346 0.984
O15 O 0.860 0.946 0.293
O16 O 0.998 0.199 0.365


Entry 7:
# CaCuCl2 | Alexandria | GGA-PBEsol | relaxed
# Raw total energy: -14.32 eV per cell
# Polymorph energy (0 for the lowest one): 0.036 eV per atom
# ΔE_f (raw): -958 meV/atom
# Crystal system: tetragonal
# DOS(E_F): 0.560 states/eV/atom
# Spin magnetization: 0.00 Bohr magnetons per cell
data_CaCuCl2
_chemical_formula_sum 'Ca1 Cu1 Cl2'
_symmetry_space_group_name_H-M 'P 1'
_symmetry_Int_Tables_number 1
_symmetry_space_group_name_Hall 'P 1'
_cell_length_a 3.542
_cell_length_b 3.542
_cell_length_c 6.470
_cell_angle_alpha 90.00
_cell_angle_beta 90.00
_cell_angle_gamma 90.00
loop_
_atom_site_label
_atom_site_type_symbol
_atom_site_fract_x
_atom_site_fract_y
_atom_site_fract_z
Ca1 Ca 0.000 0.000 0.000
Cu1 Cu 0.500 0.500 0.686
Cl1 Cl 0.000 0.000 0.592
Cl2 Cl 0.500 0.500 0.212


Entry 8:
# SrU2S5 | Alexandria | GGA-PBEsol | relaxed
# Raw total energy: -243.27 eV per cell
# ΔE_f (raw): -1592 meV/atom
# Crystal system: monoclinic
# DOS(E_F): 1.722 states/eV/atom
# Spin magnetization: 16.01 Bohr magnetons per cell
data_SrU2S5
_chemical_formula_sum 'Sr4 U8 S20'
_symmetry_space_group_name_H-M 'P 1'
_symmetry_Int_Tables_number 1
_symmetry_space_group_name_Hall 'P 1'
_cell_length_a 8.125
_cell_length_b 7.272
_cell_length_c 11.329
_cell_angle_alpha 90.00
_cell_angle_beta 90.14
_cell_angle_gamma 90.00
loop_
_atom_site_label
_atom_site_type_symbol
_atom_site_fract_x
_atom_site_fract_y
_atom_site_fract_z
Sr1 Sr 0.008 0.050 0.330
Sr2 Sr 0.008 0.450 0.830
Sr3 Sr 0.992 0.550 0.170
Sr4 Sr 0.992 0.950 0.670
U1 U 0.255 0.576 0.489
U2 U 0.255 0.924 0.989
U3 U 0.498 0.024 0.319
U4 U 0.498 0.476 0.819
U5 U 0.502 0.524 0.181
U6 U 0.502 0.976 0.681
U7 U 0.745 0.076 0.011
U8 U 0.745 0.424 0.511
S1 S 0.044 0.179 0.076
S2 S 0.044 0.321 0.576
S3 S 0.267 0.694 0.719
S4 S 0.267 0.806 0.219
S5 S 0.277 0.165 0.810
S6 S 0.277 0.335 0.310
S7 S 0.283 0.543 0.000
S8 S 0.283 0.957 0.500
S9 S 0.451 0.167 0.095
S10 S 0.451 0.333 0.595
S11 S 0.549 0.667 0.405
S12 S 0.549 0.833 0.905
S13 S 0.717 0.043 0.500
S14 S 0.717 0.457 0.000
S15 S 0.723 0.665 0.690
S16 S 0.723 0.835 0.190
S17 S 0.733 0.194 0.781
S18 S 0.733 0.306 0.281
S19 S 0.956 0.679 0.424
S20 S 0.956 0.821 0.924


Entry 9:
# BaPdSe2Br | Alexandria | GGA-PBEsol | relaxed
# Raw total energy: -22.50 eV per cell
# ΔE_f (raw): -965 meV/atom
# Crystal system: tetragonal
# DOS(E_F): 0.744 states/eV/atom
# Spin magnetization: 0.00 Bohr magnetons per cell
data_BaPdSe2Br
_chemical_formula_sum 'Ba1 Pd1 Se2 Br1'
_symmetry_space_group_name_H-M 'P 1'
_symmetry_Int_Tables_number 1
_symmetry_space_group_name_Hall 'P 1'
_cell_length_a 4.996
_cell_length_b 4.996
_cell_length_c 5.126
_cell_angle_alpha 90.00
_cell_angle_beta 90.00
_cell_angle_gamma 90.00
loop_
_atom_site_label
_atom_site_type_symbol
_atom_site_fract_x
_atom_site_fract_y
_atom_site_fract_z
Ba1 Ba 0.000 0.000 0.000
Pd1 Pd 0.500 0.500 0.500
Se1 Se 0.000 0.500 0.500
Se2 Se 0.500 0.000 0.500
Br1 Br 0.500 0.500 0.000


Entry 10:
# CaIn | Alexandria | GGA-PBEsol | relaxed
# Raw total energy: -11.86 eV per cell
# ΔE_f: -406.4 meV per atom
# Crystal system: orthorhombic
# DOS(E_F): 0.501 states/eV/atom
# Spin magnetization: 0.00 Bohr magnetons per cell
data_CaIn
_chemical_formula_sum 'Ca2 In2'
_symmetry_space_group_name_H-M 'P 1'
_symmetry_Int_Tables_number 1
_symmetry_space_group_name_Hall 'P 1'
_cell_length_a 6.377
_cell_length_b 6.377
_cell_length_c 6.377
_cell_angle_alpha 144.59
_cell_angle_beta 131.12
_cell_angle_gamma 61.80
loop_
_atom_site_label
_atom_site_type_symbol
_atom_site_fract_x
_atom_site_fract_y
_atom_site_fract_z
Ca1 Ca 0.357 0.107 0.250
Ca2 Ca 0.643 0.893 0.750
In1 In 0.102 0.352 0.750
In2 In 0.898 0.648 0.250


Entry 11:
# Ir5Ru3 | Alexandria | GGA-PBEsol | relaxed
# Raw total energy: -79.86 eV per cell
# ΔE_f: -28.6 meV per atom
# Crystal system: orthorhombic
# DOS(E_F): 1.016 states/eV/atom
# Spin magnetization: 0.00 Bohr magnetons per cell
data_Ir5Ru3
_chemical_formula_sum 'Ir5 Ru3'
_symmetry_space_group_name_H-M 'P 1'
_symmetry_Int_Tables_number 1
_symmetry_space_group_name_Hall 'P 1'
_cell_length_a 5.382
_cell_length_b 5.382
_cell_length_c 3.801
_cell_angle_alpha 90.00
_cell_angle_beta 90.00
_cell_angle_gamma 90.12
loop_
_atom_site_label
_atom_site_type_symbol
_atom_site_fract_x
_atom_site_fract_y
_atom_site_fract_z
Ir1 Ir 0.000 0.000 0.000
Ir2 Ir 0.000 0.500 0.000
Ir3 Ir 0.252 0.748 0.500
Ir4 Ir 0.500 0.000 0.000
Ir5 Ir 0.748 0.252 0.500
Ru1 Ru 0.252 0.252 0.500
Ru2 Ru 0.500 0.500 0.000
Ru3 Ru 0.748 0.748 0.500


Entry 12:
# HfTi2As2 | Alexandria | GGA-PBEsol | relaxed
# Raw total energy: -83.87 eV per cell
# ΔE_f: -914.6 meV per atom
# Crystal system: tetragonal
# DOS(E_F): 0.433 states/eV/atom
# Spin magnetization: 0.00 Bohr magnetons per cell
data_HfTi2As2
_chemical_formula_sum 'Hf2 Ti4 As4'
_symmetry_space_group_name_H-M 'P 1'
_symmetry_Int_Tables_number 1
_symmetry_space_group_name_Hall 'P 1'
_cell_length_a 7.000
_cell_length_b 7.000
_cell_length_c 3.351
_cell_angle_alpha 90.00
_cell_angle_beta 90.00
_cell_angle_gamma 90.00
loop_
_atom_site_label
_atom_site_type_symbol
_atom_site_fract_x
_atom_site_fract_y
_atom_site_fract_z
Hf1 Hf 0.000 0.000 0.000
Hf2 Hf 0.500 0.500 0.000
Ti1 Ti 0.151 0.349 0.500
Ti2 Ti 0.349 0.849 0.500
Ti3 Ti 0.651 0.151 0.500
Ti4 Ti 0.849 0.651 0.500
As1 As 0.144 0.644 0.000
As2 As 0.356 0.144 0.000
As3 As 0.644 0.856 0.000
As4 As 0.856 0.356 0.000